[1]
## SrZrAl2 (PBE)

Data for a geometry-optimized SrZrAl2 structure.

Summary:
Energy above the lowest structure with this stoichiometry: 178 meV per atom

Unit cell a=6.9688 b=8.4228 c=3.1480 alpha=90.00 beta=90.00 gamma=90.00
With the nearest neighbours (Å) after each atom.
Space group Cmmm (No. 65)
Asymmetric unit:
Sr  0.0000  0.0000  0.0000 [2 per cell]  2 Sr 3.15, 8 Al 3.15, 2 Zr 3.48
Zr  0.0000  0.5000  0.0000 [2 per cell]  2 Zr 3.15, 8 Al 3.15, 2 Sr 3.48
Al  0.2500  0.2500  0.5000 [4 per cell]  4 Al 3.15-3.48, 4 Zr 3.15, 4 Sr 3.15

[2]
## ErIrRhPb (PBE)

Data for a geometry-optimized ErIrRhPb structure.

Summary:
E_tot: -6.5488 eV per atom

Unit cell a=6.7234 b=6.7234 c=6.7234 alpha=90.00 beta=90.00 gamma=90.00
With the nearest neighbours (Å) after each atom.
Space group F-43m (No. 216)
Asymmetric unit:
Er  0.0000  0.0000  0.0000 [4 per cell]  4 Rh 2.91, 4 Ir 2.91
Ir  0.2500  0.2500  0.2500 [4 per cell]  4 Pb 2.91, 4 Er 2.91
Rh  0.2500  0.2500  0.7500 [4 per cell]  4 Pb 2.91, 4 Er 2.91
Pb  0.0000  0.0000  0.5000 [4 per cell]  4 Ir 2.91, 4 Rh 2.91

[3]
## Ta2SnRu3 (PBE)

Data for a geometry-optimized Ta2SnRu3 structure.

Summary:
E_tot: -9.5218 eV per atom

Unit cell a=3.2286 b=3.2286 c=9.3701 alpha=90.00 beta=90.00 gamma=90.00
With the nearest neighbours (Å) after each atom.
Space group P4/mmm (No. 123)
Asymmetric unit:
Ta  0.0000  0.0000  0.1621 [2 per cell]  8 Ru 2.74-2.76, 1 Ta 3.04
Sn  0.0000  0.0000  0.5000 [1 per cell]  8 Ru 2.80
Ru  0.5000  0.5000  0.0000 [1 per cell]  8 Ta 2.74, 2 Ru 3.06
Ru  0.5000  0.5000  0.3270 [2 per cell]  4 Ta 2.76, 4 Sn 2.80, 1 Ru 3.06

[4]
## Nd2Ag3Pt (PBE)

Data for a geometry-optimized Nd2Ag3Pt structure.

Summary:
E_tot: -4.4808 eV per atom

Unit cell a=3.6646 b=4.8049 c=8.0903 alpha=90.00 beta=90.00 gamma=90.00
With the nearest neighbours (Å) after each atom.
Space group Pmm2 (No. 25)
Asymmetric unit:
Nd  0.0000  0.0000  0.0000 [1 per cell]  2 Pt 3.03, 4 Ag 3.20
Nd  0.0000  0.5000  0.4442 [1 per cell]  8 Ag 3.14-3.40, 4 Pt 3.25
Ag  0.5000  0.0000  0.6374 [1 per cell]  2 Ag 2.72, 1 Pt 2.75
Ag  0.5000  0.5000  0.1291 [1 per cell]  1 Ag 2.71, 2 Pt 2.76
Ag  0.5000  0.5000  0.7941 [1 per cell]  3 Ag 2.71-2.72
Pt  0.5000  0.0000  0.2979 [1 per cell]  3 Ag 2.75-2.76, 2 Nd 3.03

[5]
## CaPbAu6 (PBE)

Data for a geometry-optimized CaPbAu6 structure.

Summary:
Energy above the lowest structure with this stoichiometry: 24 meV per atom

Unit cell a=5.5202 b=5.5202 c=5.5202 alpha=90.00 beta=90.00 gamma=90.00
With the nearest neighbours (Å) after each atom.
Space group Pm-3 (No. 200)
Asymmetric unit:
Ca  0.0000  0.0000  0.0000 [1 per cell]  12 Au 3.08
Pb  0.5000  0.5000  0.5000 [1 per cell]  12 Au 3.09
Au  0.0000  0.2481  0.5000 [6 per cell]  2 Au 2.74-2.78

[6]
## MoWSe4 (PBE)

Data for a geometry-optimized MoWSe4 structure.

Summary:
Energy above the lowest structure with this stoichiometry: 0 meV per atom
E_form (uncorrected): -0.624 eV per atom

Unit cell a=3.3222 b=3.3222 c=14.6739 alpha=90.00 beta=90.00 gamma=120.00
With the nearest neighbours (Å) after each atom.
Space group P3m1 (No. 156)
Asymmetric unit:
Mo  0.0000  0.0000  0.0000 [1 per cell]  6 Se 2.55
W  0.6667  0.3333  0.4971 [1 per cell]  6 Se 2.55
Se  0.0000  0.0000  0.3824 [1 per cell]  3 W 2.55
Se  0.0000  0.0000  0.6118 [1 per cell]  3 W 2.55
Se  0.6667  0.3333  0.1141 [1 per cell]  3 Mo 2.55
Se  0.6667  0.3333  0.8860 [1 per cell]  3 Mo 2.55

[7]
## Be4TlRe (PBE)

Data for a geometry-optimized Be4TlRe structure.

Summary:
E_tot: -4.5823 eV per atom

Unit cell a=6.5070 b=6.5070 c=6.5070 alpha=90.00 beta=90.00 gamma=90.00
With the nearest neighbours (Å) after each atom.
Space group F-43m (No. 216)
Asymmetric unit:
Be  0.1200  0.1200  0.3800 [16 per cell]  6 Be 2.21-2.39
Tl  0.0000  0.0000  0.0000 [4 per cell]  12 Be 2.71, 4 Re 2.82
Re  0.2500  0.2500  0.7500 [4 per cell]  12 Be 2.69, 4 Tl 2.82

[8]
## Pm2In5Pd3 (PBE)

Data for a geometry-optimized Pm2In5Pd3 structure.

Summary:
Energy above the lowest structure with this stoichiometry: 0 meV per atom

Unit cell a=4.5859 b=26.8679 c=7.3146 alpha=90.00 beta=90.00 gamma=90.00
With the nearest neighbours (Å) after each atom.
Space group Cmc2_1 (No. 36)
Asymmetric unit:
Pm  0.0000  0.0216  0.0000 [4 per cell]  3 Pd 2.94-3.15, 2 In 3.28
Pm  0.0000  0.3257  0.0647 [4 per cell]  4 Pd 3.21-3.50, 10 In 3.26-3.59
In  0.0000  0.0986  0.3685 [4 per cell]  3 Pd 2.76-2.83, 1 In 3.03
In  0.0000  0.2067  0.8640 [4 per cell]  4 Pd 2.76-2.80, 1 In 3.00
In  0.0000  0.2087  0.2747 [4 per cell]  3 Pd 2.77-2.78, 2 In 3.00-3.03
In  0.0000  0.3756  0.5199 [4 per cell]  4 Pd 2.79-3.04
In  0.0000  0.4476  0.1703 [4 per cell]  4 Pd 2.78-2.85
Pd  0.0000  0.1083  0.7540 [4 per cell]  6 In 2.76-3.04, 1 Pm 2.94
Pd  0.0000  0.2728  0.5717 [4 per cell]  7 In 2.77-2.80
Pd  0.0000  0.4535  0.7810 [4 per cell]  5 In 2.76-2.85

[9]
## Sc6Co2Cu (PBE)

Data for a geometry-optimized Sc6Co2Cu structure.

Summary:
E_tot: -6.4950 eV per atom

Unit cell a=8.6471 b=8.7066 c=9.1659 alpha=90.00 beta=90.00 gamma=90.00
With the nearest neighbours (Å) after each atom.
Space group Immm (No. 71)
Asymmetric unit:
Sc  0.0000  0.1926  0.1736 [8 per cell]  3 Co 2.51-2.71
Sc  0.1803  0.2249  0.5000 [8 per cell]  3 Co 2.74-2.75, 1 Cu 2.86
Sc  0.1945  0.5000  0.2563 [8 per cell]  1 Co 2.55, 1 Cu 2.80
Co  0.0000  0.0000  0.3775 [4 per cell]  1 Co 2.25, 2 Sc 2.51
Co  0.1641  0.0000  0.0000 [4 per cell]  8 Sc 2.55-2.75, 1 Co 2.84
Cu  0.0000  0.5000  0.0000 [2 per cell]  8 Sc 2.89-3.11
Cu  0.0000  0.5000  0.5000 [2 per cell]  8 Sc 2.80-2.86, 2 Co 2.90

[10]
## SmThHgRh (PBE)

Data for a geometry-optimized SmThHgRh structure.

Summary:
Energy above the lowest structure with this stoichiometry: 0 meV per atom

Unit cell a=4.0918 b=4.0918 c=23.2739 alpha=90.00 beta=90.00 gamma=120.00
With the nearest neighbours (Å) after each atom.
Space group R3m (No. 160, hexagonal axes)
Asymmetric unit:
Sm  0.0000  0.0000  0.0000 [3 per cell]  3 Rh 2.90
Th  0.0000  0.0000  0.8027 [3 per cell]  3 Rh 2.79
Hg  0.0000  0.0000  0.2360 [3 per cell]  3 Sm 3.27, 3 Th 3.32
Rh  0.0000  0.0000  0.4053 [3 per cell]  3 Th 2.79, 3 Sm 2.90

[11]
## PmIn4Ag2 (PBE)

Data for a geometry-optimized PmIn4Ag2 structure.

Summary:
E_tot: -3.1865 eV per atom

Unit cell a=6.0008 b=9.7694 c=11.5598 alpha=90.00 beta=90.00 gamma=90.00
With the nearest neighbours (Å) after each atom.
Space group Fmmm (No. 69)
Asymmetric unit:
Pm  0.0000  0.0000  0.0000 [4 per cell]  6 In 3.26-3.41, 2 Ag 3.31
In  0.0000  0.1668  0.5000 [8 per cell]  2 Ag 2.96, 1 Pm 3.26, 1 In 3.26
In  0.2500  0.2500  0.2500 [8 per cell]  4 Ag 2.90, 2 In 3.00
Ag  0.0000  0.0000  0.2865 [8 per cell]  6 In 2.90-2.96, 2 Ag 3.12

[12]
## Tm5BeS4 (PBE)

Data for a geometry-optimized Tm5BeS4 structure.

Summary:
E_form (uncorrected): -1.575 eV per atom

Unit cell a=8.6513 b=8.6513 c=5.4527 alpha=90.00 beta=90.00 gamma=90.00
With the nearest neighbours (Å) after each atom.
Space group I4/m (No. 87)
Asymmetric unit:
Tm  0.0000  0.0000  0.0000 [2 per cell]  2 Be 2.73, 4 S 2.76
Tm  0.0977  0.7081  0.5000 [8 per cell]  1 Be 2.66, 5 S 2.72-2.78
Be  0.0000  0.0000  0.5000 [2 per cell]  6 Tm 2.66-2.73
S  0.0961  0.6958  0.0000 [8 per cell]  6 Tm 2.72-2.78